Compound: Li17CaLa
Source: the Alexandria database
Functional: GGA-PBE
Structure: optimized geometry

Cell and atoms, written as CIF:
```
data_Li17CaLa
_chemical_formula_sum 'Li51 Ca3 La3'
_space_group_name_H-M_alt 'R 3 m'
_space_group_IT_number 160
_space_group_name_Hall 'R 3 -2"'
_cell_length_a 10.0359
_cell_length_b 10.0359
_cell_length_c 14.7728
_cell_angle_alpha 90.00
_cell_angle_beta 90.00
_cell_angle_gamma 120.00
loop_
_atom_site_label
_atom_site_fract_x
_atom_site_fract_y
_atom_site_fract_z
_atom_site_occupancy
Li1 0.0000 0.0000 0.0533 1
Li2 0.0000 0.0000 0.2489 1
Li3 0.0009 0.5004 0.0000 1
Li4 0.0385 0.3712 0.8167 1
Li5 0.1680 0.3359 0.6327 1
Li6 0.1680 0.3359 0.9836 1
Ca1 0.0000 0.0000 0.4978 1
La1 0.0000 0.0000 0.8063 1
```

Values from the calculation:
Uncorrected energy ... -2.03 eV per atom
Formation enthalpy at 0 K ... 0.049 eV/atom
Size of the total moment ... 0.0 μB per formula unit


Compound: CrPbAu2
Source: the Alexandria database
Functional: GGA-PBE
Structure: optimized geometry

Cell and atoms, written as CIF:
```
data_CrPbAu2
_chemical_formula_sum 'Cr3 Pb3 Au6'
_space_group_name_H-M_alt 'R 3 m'
_space_group_IT_number 160
_space_group_name_Hall 'R 3 -2"'
_cell_length_a 3.3711
_cell_length_b 3.3711
_cell_length_c 25.9538
_cell_angle_alpha 90.00
_cell_angle_beta 90.00
_cell_angle_gamma 120.00
loop_
_atom_site_label
_atom_site_fract_x
_atom_site_fract_y
_atom_site_fract_z
_atom_site_occupancy
Cr1 0.0000 0.0000 0.0000 1
Pb1 0.0000 0.0000 0.7588 1
Au1 0.0000 0.0000 0.2617 1
Au2 0.0000 0.0000 0.5138 1
```

Values from the calculation:
Uncorrected energy ... -4.63 eV per atom
Formation enthalpy at 0 K ... 0.337 eV/atom
Size of the total moment ... 4.3 μB per formula unit


Compound: Ho2Si3Rh5
Source: the Alexandria database
Functional: GGA-PBE
Structure: optimized geometry

Cell and atoms, written as CIF:
```
data_Ho2Si3Rh5
_chemical_formula_sum 'Ho8 Si12 Rh20'
_space_group_name_H-M_alt 'C m c 21'
_space_group_IT_number 36
_cell_length_a 4.0422
_cell_length_b 24.1475
_cell_length_c 6.5604
_cell_angle_alpha 90.00
_cell_angle_beta 90.00
_cell_angle_gamma 90.00
loop_
_space_group_symop_operation_xyz
'x,y,z'
'-x,-y,z+1/2'
'-x,y,z'
'x,-y,z+1/2'
'x+1/2,y+1/2,z'
'-x+1/2,-y+1/2,z+1/2'
'-x+1/2,y+1/2,z'
'x+1/2,-y+1/2,z+1/2'
loop_
_atom_site_label
_atom_site_fract_x
_atom_site_fract_y
_atom_site_fract_z
_atom_site_occupancy
Ho1 0.0000 0.0200 0.0000 1
Ho2 0.0000 0.3244 0.0091 1
Si1 0.0000 0.1112 0.7430 1
Si2 0.0000 0.2713 0.5211 1
Si3 0.0000 0.4510 0.7915 1
Rh1 0.0000 0.0989 0.3522 1
Rh2 0.0000 0.2075 0.8144 1
Rh3 0.0000 0.2097 0.2281 1
Rh4 0.0000 0.3705 0.5266 1
Rh5 0.0000 0.4426 0.1602 1
```

Values from the calculation:
Uncorrected energy ... -7.17 eV per atom
Size of the total moment ... 0.0 μB per formula unit


Compound: KCu2Sn2
Source: the Alexandria database
Functional: GGA-PBE
Structure: optimized geometry

Cell and atoms, written as CIF:
```
data_KCu2Sn2
_chemical_formula_sum 'K2 Cu4 Sn4'
_space_group_name_H-M_alt 'P 4/m b m'
_space_group_IT_number 127
_space_group_name_Hall '-P 4 2ab'
_cell_length_a 8.6087
_cell_length_b 8.6087
_cell_length_c 3.0097
_cell_angle_alpha 90.00
_cell_angle_beta 90.00
_cell_angle_gamma 90.00
loop_
_atom_site_label
_atom_site_fract_x
_atom_site_fract_y
_atom_site_fract_z
_atom_site_occupancy
K1 0.0000 0.0000 0.0000 1
Cu1 0.1469 0.3531 0.5000 1
Sn1 0.1399 0.6399 0.0000 1
```

Values from the calculation:
Uncorrected energy ... -3.34 eV per atom
Offset from the most stable computed form ... 136.0 meV/atom
Formation enthalpy at 0 K ... 0.117 eV/atom
Size of the total moment ... 0.0 μB per formula unit


Compound: YSnSb2Te
Source: the Alexandria database
Functional: GGA-PBE
Structure: optimized geometry

Cell and atoms, written as CIF:
```
data_YSnSb2Te
_chemical_formula_sum 'Y1 Sn1 Sb2 Te1'
_space_group_name_H-M_alt 'P 4/m m m'
_space_group_IT_number 123
_space_group_name_Hall '-P 4 2'
_cell_length_a 5.7801
_cell_length_b 5.7801
_cell_length_c 5.7869
_cell_angle_alpha 90.00
_cell_angle_beta 90.00
_cell_angle_gamma 90.00
loop_
_atom_site_label
_atom_site_fract_x
_atom_site_fract_y
_atom_site_fract_z
_atom_site_occupancy
Y1 0.0000 0.0000 0.0000 1
Sn1 0.5000 0.5000 0.5000 1
Sb1 0.0000 0.5000 0.0000 1
Te1 0.0000 0.0000 0.5000 1
```

Values from the calculation:
Uncorrected energy ... -4.17 eV per atom
Offset from the most stable computed form ... 0.0 meV/atom
Size of the total moment ... 0.0 μB per formula unit


Compound: Sr3Ac5S8
Source: the Alexandria database
Functional: GGA-PBE
Structure: optimized geometry

Cell and atoms, written as CIF:
```
data_Sr3Ac5S8
_chemical_formula_sum 'Sr9 Ac15 S24'
_space_group_name_H-M_alt 'R -3 m'
_space_group_IT_number 166
_space_group_name_Hall '-R 3 2"'
_cell_length_a 8.5665
_cell_length_b 8.5665
_cell_length_c 21.1696
_cell_angle_alpha 90.00
_cell_angle_beta 90.00
_cell_angle_gamma 120.00
loop_
_atom_site_label
_atom_site_fract_x
_atom_site_fract_y
_atom_site_fract_z
_atom_site_occupancy
Sr1 0.0000 0.5000 0.0000 1
Ac1 0.0000 0.0000 0.0000 1
Ac2 0.0000 0.0000 0.5000 1
Ac3 0.0000 0.5000 0.5000 1
S1 0.0000 0.0000 0.2512 1
S2 0.0026 0.5013 0.2514 1
```

Values from the calculation:
Uncorrected energy ... -5.69 eV per atom
Size of the total moment ... 0.0 μB per formula unit


Compound: LiCe2CuPt2
Source: the Alexandria database
Functional: GGA-PBE
Structure: optimized geometry

Cell and atoms, written as CIF:
```
data_LiCe2CuPt2
_chemical_formula_sum 'Li4 Ce8 Cu4 Pt8'
_space_group_name_H-M_alt 'I b a m'
_space_group_IT_number 72
_space_group_name_Hall '-I 2 2c'
_cell_length_a 5.6916
_cell_length_b 15.0021
_cell_length_c 5.6504
_cell_angle_alpha 90.00
_cell_angle_beta 90.00
_cell_angle_gamma 90.00
loop_
_atom_site_label
_atom_site_fract_x
_atom_site_fract_y
_atom_site_fract_z
_atom_site_occupancy
Li1 0.0000 0.0000 0.2500 1
Ce1 0.2443 0.3388 0.0000 1
Cu1 0.0000 0.5000 0.2500 1
Pt1 0.2458 0.1309 0.0000 1
```

Values from the calculation:
Uncorrected energy ... -5.74 eV per atom
Formation enthalpy at 0 K ... -0.750 eV/atom
Size of the total moment ... 0.8 μB per formula unit


Compound: Ca3RuF
Source: the Alexandria database
Functional: GGA-PBE
Structure: optimized geometry

Cell and atoms, written as CIF:
```
data_Ca3RuF
_chemical_formula_sum 'Ca3 Ru1 F1'
_space_group_name_H-M_alt 'P m -3 m'
_space_group_IT_number 221
_space_group_name_Hall '-P 4 2 3'
_cell_length_a 5.3942
_cell_length_b 5.3942
_cell_length_c 5.3942
_cell_angle_alpha 90.00
_cell_angle_beta 90.00
_cell_angle_gamma 90.00
loop_
_atom_site_label
_atom_site_fract_x
_atom_site_fract_y
_atom_site_fract_z
_atom_site_occupancy
Ca1 0.0000 0.0000 0.5000 1
Ru1 0.0000 0.0000 0.0000 1
F1 0.5000 0.5000 0.5000 1
```

Values from the calculation:
Uncorrected energy ... -3.78 eV per atom
Offset from the most stable computed form ... 491.9 meV/atom
Size of the total moment ... 0.0 μB per formula unit


Compound: Zn2SeBr
Source: the Alexandria database
Functional: GGA-PBE
Structure: optimized geometry

Cell and atoms, written as CIF:
```
data_Zn2SeBr
_chemical_formula_sum 'Zn2 Se1 Br1'
_space_group_name_H-M_alt 'P 1 2/m 1'
_space_group_IT_number 10
_cell_length_a 4.2619
_cell_length_b 3.6783
_cell_length_c 6.3049
_cell_angle_alpha 90.00
_cell_angle_beta 94.46
_cell_angle_gamma 90.00
loop_
_space_group_symop_operation_xyz
'x,y,z'
'-x,-y,-z'
'-x,y,-z'
'x,-y,z'
loop_
_atom_site_label
_atom_site_fract_x
_atom_site_fract_y
_atom_site_fract_z
_atom_site_occupancy
Zn1 0.1584 0.0000 0.3204 1
Se1 0.5000 0.5000 0.5000 1
Br1 0.0000 0.5000 0.0000 1
```

Values from the calculation:
Uncorrected energy ... -2.17 eV per atom
Offset from the most stable computed form ... 116.3 meV/atom
Size of the total moment ... 0.0 μB per formula unit


Compound: Rb3NaMo
Source: the Alexandria database
Functional: GGA-PBE
Structure: optimized geometry

Cell and atoms, written as CIF:
```
data_Rb3NaMo
_chemical_formula_sum 'Rb3 Na1 Mo1'
_space_group_name_H-M_alt 'P m -3 m'
_space_group_IT_number 221
_space_group_name_Hall '-P 4 2 3'
_cell_length_a 7.2699
_cell_length_b 7.2699
_cell_length_c 7.2699
_cell_angle_alpha 90.00
_cell_angle_beta 90.00
_cell_angle_gamma 90.00
loop_
_atom_site_label
_atom_site_fract_x
_atom_site_fract_y
_atom_site_fract_z
_atom_site_occupancy
Rb1 0.0000 0.0000 0.5000 1
Na1 0.5000 0.5000 0.5000 1
Mo1 0.0000 0.0000 0.0000 1
```

Values from the calculation:
Uncorrected energy ... -1.95 eV per atom
Offset from the most stable computed form ... 0.0 meV/atom
Formation enthalpy at 0 K ... 1.058 eV/atom
Size of the total moment ... 5.9 μB per formula unit